Entry 1:
DFT (PBE) results for crystalline ErTePd6 at its relaxed geometry.

Results
As for the final energy: -5.400 eV/atom. Its volume is 137.2 Å³/cell. The uncorrected formation energy comes out at -0.54 eV/atom.

Cell: 4.090 4.090 8.198 Å, 90.00 90.00 90.00°
Fractional coordinates of all 8 atoms:
Er (0.000, 0.000, 0.000)
Te (0.000, 0.000, 0.500)
Pd (0.000, 0.500, 0.252)
Pd (0.000, 0.500, 0.748)
Pd (0.500, 0.000, 0.252)
Pd (0.500, 0.000, 0.748)
Pd (0.500, 0.500, 0.000)
Pd (0.500, 0.500, 0.500)

***

Entry 2:
DFT (PBE) results for crystalline NdCd2BiO6 at its relaxed geometry.

Results
As for the final energy: -5.595 eV/atom. Its volume is 151.4 Å³/cell. The uncorrected formation energy comes out at -1.57 eV/atom.

Cell: 6.146 6.146 6.146 Å, 56.62 56.62 56.62°
Fractional coordinates of all 10 atoms:
Nd (0.000, 0.000, 0.000)
Cd (0.275, 0.275, 0.275)
Cd (0.782, 0.782, 0.782)
Bi (0.491, 0.491, 0.491)
O (0.119, 0.687, 0.394)
O (0.222, 0.599, 0.859)
O (0.394, 0.119, 0.687)
O (0.599, 0.859, 0.222)
O (0.687, 0.394, 0.119)
O (0.859, 0.222, 0.599)

***

Entry 3:
DFT (PBE) results for crystalline Pm12Pr7Mg at its relaxed geometry.

Results
As for the final energy: -4.008 eV/atom. Its volume is 785.7 Å³/cell. For the formation energy, the calculation gives 0.60 eV per atom.

Cell: 10.069 10.069 10.069 Å, 109.47 109.47 109.47°
Fractional coordinates of all 20 atoms:
Pm (0.000, 0.244, 0.756)
Pm (0.000, 0.756, 0.244)
Pm (0.244, 0.000, 0.756)
Pm (0.244, 0.244, 0.487)
Pm (0.244, 0.487, 0.244)
Pm (0.244, 0.756, 0.000)
Pm (0.487, 0.244, 0.244)
Pm (0.513, 0.756, 0.756)
Pm (0.756, 0.000, 0.244)
Pm (0.756, 0.244, 0.000)
Pm (0.756, 0.513, 0.756)
Pm (0.756, 0.756, 0.513)
Pr (0.000, 0.000, 0.500)
Pr (0.000, 0.500, 0.000)
Pr (0.000, 0.500, 0.500)
Pr (0.500, 0.000, 0.000)
Pr (0.500, 0.000, 0.500)
Pr (0.500, 0.500, 0.000)
Pr (0.500, 0.500, 0.500)
Mg (0.000, 0.000, 0.000)

***

Number 1: magnetic moment 0.00 μB per cell. Number 2: magnetic moment 0.00 μB per cell. Number 3: magnetic moment 0.00 μB per cell.